A geometry-optimized Tc2BSb structure. Source: the Alexandria database, functional GGA-PBE.

a = 4.6839 Å, b = 4.6839 Å, c = 7.3939 Å
α = 71.53°, β = 71.53°, γ = 90.00°
Fractional coordinates of all 8 atoms:
B 0.2500 0.7500 0.5000
B 0.5000 0.5000 0.0000
Sb 0.7500 0.2500 0.5000
Sb 0.0000 0.0000 0.0000
Tc 0.8750 0.7439 0.7500
Tc 0.4939 0.1250 0.2500
Tc 0.2561 0.6250 0.2500
Tc 0.3750 0.5061 0.7500

Properties
* energy above the lowest structure with this stoichiometry: 66 meV per atom
* V: 18.13 Å³/atom
* energy relative to the elements, uncorrected: 0.64 eV per atom
* VASP energy: -7.2435 eV/atom
* SG: I-42d, No. 122